Computed, not measured: an optimized crystal structure of TaMn2Se at the PBE level of DFT.

```
TaMn2Se
1.0
3.247 0.000 0.000
-1.623 2.812 0.000
0.000 0.000 22.017
Ta Mn Se
3 6 3
Cartesian
0.000 0.000 0.000 Ta
0.000 1.875 14.678 Ta
1.623 0.937 7.339 Ta
0.000 0.000 5.602 Mn
0.000 0.000 11.268 Mn
0.000 1.875 3.929 Mn
0.000 1.875 20.280 Mn
1.623 0.937 12.941 Mn
1.623 0.937 18.607 Mn
0.000 0.000 16.576 Se
0.000 1.875 9.237 Se
1.623 0.937 1.899 Se
```

Results
- density of states at the Fermi level (states/eV/cell) = 7.281

---

Computed, not measured: an optimized crystal structure of TaMnSe6 at the PBE level of DFT.

```
TaMnSe6
1.0
6.311 0.000 0.000
3.077 5.519 0.000
0.935 2.935 5.531
Ta Mn Se
1 1 6
Cartesian
0.000 0.000 0.000 Ta
3.623 1.467 2.766 Mn
4.302 6.179 2.277 Se
2.982 3.365 4.196 Se
3.648 3.042 0.530 Se
6.675 5.412 5.001 Se
7.341 5.089 1.335 Se
6.022 2.275 3.254 Se
```

Results
- density of states at the Fermi level (states/eV/cell) = 3.107

---

Computed, not measured: an optimized crystal structure of Ta2MnSe at the PBE level of DFT.

```
Ta2MnSe
1.0
4.201 0.000 0.000
0.000 4.201 0.000
0.000 0.000 7.331
Ta Mn Se
4 2 2
Cartesian
0.000 2.100 1.833 Ta
0.000 2.100 5.498 Ta
2.100 0.000 1.833 Ta
2.100 0.000 5.498 Ta
0.000 0.000 0.000 Mn
2.100 2.100 3.666 Mn
0.000 0.000 3.666 Se
2.100 2.100 0.000 Se
```

Results
- density of states at the Fermi level (states/eV/cell) = 5.666

---

Computed, not measured: an optimized crystal structure of Ta2MnSe at the PBE level of DFT.

```
Ta2MnSe
1.0
3.109 0.000 0.000
0.000 4.278 0.000
-1.433 0.000 4.781
Ta Mn Se
2 1 1
Cartesian
0.000 0.000 0.000 Ta
-0.170 2.139 3.281 Ta
1.870 2.139 0.860 Mn
1.525 0.000 2.177 Se
```

Results
- density of states at the Fermi level (states/eV/cell) = 2.749

---

Computed, not measured: an optimized crystal structure of Ta2MnSe at the PBE level of DFT.

```
Ta2MnSe
1.0
3.403 0.000 0.000
0.000 4.658 0.000
0.000 0.000 8.266
Ta Mn Se
4 2 2
Cartesian
0.000 0.000 2.038 Ta
0.000 0.000 6.228 Ta
1.701 2.329 2.095 Ta
1.701 2.329 6.171 Ta
0.000 2.329 0.000 Mn
1.701 0.000 4.133 Mn
0.000 2.329 4.133 Se
1.701 0.000 0.000 Se
```

Results
- density of states at the Fermi level (states/eV/cell) = 4.915

---

Computed, not measured: an optimized crystal structure of TaMn2Se at the PBE level of DFT.

```
TaMn2Se
1.0
3.665 0.000 0.000
0.000 3.665 0.000
0.000 0.000 8.566
Ta Mn Se
2 4 2
Cartesian
0.000 0.000 0.000 Ta
1.833 1.833 4.283 Ta
0.000 0.000 4.283 Mn
0.000 1.833 6.424 Mn
1.833 0.000 2.141 Mn
1.833 1.833 0.000 Mn
0.000 1.833 2.141 Se
1.833 0.000 6.424 Se
```

Results
- density of states at the Fermi level (states/eV/cell) = 6.528

---

Computed, not measured: an optimized crystal structure of TaMn2Se at the PBE level of DFT.

```
TaMn2Se
1.0
3.510 0.000 0.000
0.000 4.637 0.000
0.000 0.000 7.736
Ta Mn Se
2 4 2
Cartesian
0.000 0.000 0.000 Ta
1.755 2.318 0.000 Ta
0.000 2.318 2.006 Mn
0.000 2.318 5.730 Mn
1.755 0.000 2.006 Mn
1.755 0.000 5.730 Mn
0.000 0.000 3.868 Se
1.755 2.318 3.868 Se
```

Results
- density of states at the Fermi level (states/eV/cell) = 8.640

---

Computed, not measured: an optimized crystal structure of TaMnSe2 at the PBE level of DFT.

```
TaMnSe2
1.0
5.688 0.000 0.000
0.000 5.688 0.000
0.000 0.000 10.490
Ta Mn Se
4 4 8
Cartesian
0.000 0.000 0.000 Ta
0.000 2.844 2.623 Ta
2.844 0.000 7.868 Ta
2.844 2.844 5.245 Ta
0.000 0.000 5.245 Mn
0.000 2.844 7.868 Mn
2.844 0.000 2.623 Mn
2.844 2.844 0.000 Mn
1.234 1.422 6.556 Se
1.422 4.077 9.179 Se
1.422 4.454 3.934 Se
1.610 1.422 1.311 Se
4.077 4.266 1.311 Se
4.266 1.234 3.934 Se
4.266 1.610 9.179 Se
4.454 4.266 6.556 Se
```

Results
- density of states at the Fermi level (states/eV/cell) = 29.137
- relative energy among the computed polymorphs (eV/atom) = 0.6844

---

Computed, not measured: an optimized crystal structure of Ta2MnTe4Se2 at the PBE level of DFT.

```
Ta2MnTe4Se2
1.0
3.654 0.000 0.000
-1.827 3.165 0.000
0.000 0.000 21.379
Ta Mn Te Se
2 1 4 2
Cartesian
0.000 0.000 0.000 Ta
0.000 2.110 7.403 Ta
0.000 2.110 14.721 Mn
0.000 0.000 5.552 Te
0.000 0.000 9.255 Te
0.000 2.110 1.858 Te
0.000 2.110 19.533 Te
0.000 0.000 13.269 Se
0.000 0.000 16.174 Se
```

Results
- density of states at the Fermi level (states/eV/cell) = 6.460

---

Computed, not measured: an optimized crystal structure of TaMn3Tl3Se8 at the PBE level of DFT.

```
TaMn3Tl3Se8
1.0
6.550 -3.793 0.000
6.550 3.793 0.000
-4.383 0.000 7.721
Ta Mn Tl Se
1 3 3 8
Cartesian
0.000 0.000 0.000 Ta
3.275 1.896 0.000 Mn
3.275 -1.896 0.000 Mn
6.550 0.000 0.000 Mn
-2.192 0.000 3.861 Tl
1.084 1.896 3.861 Tl
1.084 -1.896 3.861 Tl
5.460 1.916 1.464 Se
2.164 0.000 1.467 Se
3.257 1.916 6.257 Se
-0.013 0.000 6.342 Se
8.730 0.000 1.379 Se
5.460 -1.916 1.464 Se
6.553 0.000 6.254 Se
3.257 -1.916 6.257 Se
```

Results
- density of states at the Fermi level (states/eV/cell) = 6.129

---

Computed, not measured: an optimized crystal structure of TaMn2Tl3Se6 at the PBE level of DFT.

```
TaMn2Tl3Se6
1.0
3.372 -5.839 0.000
3.372 5.839 0.000
-2.226 0.000 7.694
Ta Mn Tl Se
1 2 3 6
Cartesian
0.000 0.000 0.000 Ta
3.372 1.944 0.000 Mn
3.372 -1.944 0.000 Mn
2.259 3.881 3.847 Tl
2.259 0.000 3.847 Tl
2.259 -3.881 3.847 Tl
1.100 1.884 1.443 Se
-0.053 0.000 6.216 Se
1.100 -1.884 1.443 Se
3.418 1.884 6.252 Se
4.571 0.000 1.479 Se
3.418 -1.884 6.252 Se
```

Results
- density of states at the Fermi level (states/eV/cell) = 1.442

---

Computed, not measured: an optimized crystal structure of Ta2MnTl2Se6 at the PBE level of DFT.

```
Ta2MnTl2Se6
1.0
3.233 -5.547 0.000
3.233 5.547 0.000
-1.680 0.000 8.067
Ta Mn Tl Se
2 1 2 6
Cartesian
3.233 4.013 0.000 Ta
3.233 -4.013 0.000 Ta
3.233 0.000 0.000 Mn
2.393 2.000 4.033 Tl
2.393 -2.000 4.033 Tl
0.460 1.930 6.641 Se
1.076 0.000 1.739 Se
0.460 -1.930 6.641 Se
4.326 1.930 1.425 Se
3.711 0.000 6.328 Se
4.326 -1.930 1.425 Se
```

Results
- density of states at the Fermi level (states/eV/cell) = 3.985

---

Going through the records in order, we get total energy values of -8.24, -5.54, -8.91, -9.08, -8.99, -8.23, -8.22, -6.75, -6.14, -5.45, -5.33, -5.88 eV per atom.
Going through the records in order, we get formation energy from raw total energies values of 0.18, -0.30, 0.18, 0.01, 0.10, 0.18, 0.20, 0.25, -0.31, -0.49, -0.48, -0.56 eV/atom.